3
Lattice="-1.425 1.425 4.825 1.425 -1.425 4.825 1.425 1.425 -4.825" Properties=species:S:1:pos:R:3 comment="HfBeH PBE-GGA relaxed" dos_at_fermi_per_ev_cell=2.045 relative_energy_ev_per_fu=2.131 magmom_total_mub_per_fu=0.000 dft_energy_ev_per_cell=-16.0 crystal_system=tetragonal pbc="T T T"
Hf 0.000 0.000 0.000
Be 0.000 0.000 2.937
H 0.000 0.000 5.403

***

5
Lattice="3.967 0.000 0.000 0.000 3.967 0.000 0.000 0.000 5.060" Properties=species:S:1:pos:R:3 comment="HfBeInH2 PBE-GGA relaxed" dos_at_fermi_per_ev_cell=3.469 magmom_total_mub_per_fu=0.000 dft_energy_ev_per_cell=-18.6 crystal_system=tetragonal pbc="T T T"
Hf 0.000 0.000 0.000
Be 0.000 0.000 2.530
In 1.984 1.984 0.000
H 0.000 1.984 2.530
H 1.984 0.000 2.530